Record 1
10
Lattice="1.9217 -5.3485 0.0000 1.9217 5.3485 0.0000 0.0000 0.0000 7.1107" Properties=species:S:1:pos:R:3 comment="NdPHRh2 | Alexandria | PBE | relaxed" sg="Cmcm (63)" final_energy_ev_per_cell=-65.25 n_ef_per_ev_cell=3.2 pbc="T T T"
Nd 1.9217 4.7428 5.3331
Nd 1.9217 -4.7428 1.7777
P 1.9217 2.9625 1.7777
P 1.9217 -2.9625 5.3331
H 1.9217 0.0000 0.0000
H 1.9217 0.0000 3.5554
Rh 1.9217 1.7560 3.9560
Rh 1.9217 1.7560 6.7101
Rh 1.9217 -1.7560 0.4006
Rh 1.9217 -1.7560 3.1547

Record 2
12
Lattice="3.5213 0.0000 0.0000 0.0000 25.2649 0.0000 0.0000 0.0000 3.6474" Properties=species:S:1:pos:R:3 comment="LiCl2 | Alexandria | PBE | relaxed" sg="Cmcm (63)" e_form_raw_ev_per_atom=-0.978 de_polymorph_mev_per_atom=215 n_ef_per_ev_cell=2.3 pbc="T T T"
Li 0.0000 2.0008 0.9119
Li 0.0000 23.2641 2.7356
Li 1.7607 10.6317 2.7356
Li 1.7607 14.6332 0.9119
Cl 0.0000 6.3166 2.7356
Cl 0.0000 10.6247 0.9119
Cl 0.0000 14.6402 2.7356
Cl 0.0000 18.9483 0.9119
Cl 1.7607 2.0078 2.7356
Cl 1.7607 6.3158 0.9119
Cl 1.7607 18.9491 2.7356
Cl 1.7607 23.2571 0.9119

Record 3
12
Lattice="-3.5366 3.5366 3.7373 3.5366 -3.5366 3.7373 3.5366 3.5366 -3.7373" Properties=species:S:1:pos:R:3 comment="NdPaIn2O8 | Alexandria | PBE | relaxed" sg="I-4m2 (119)" e_form_raw_ev_per_atom=-2.114 n_ef_per_ev_cell=7.7 pbc="T T T"
Nd 0.0000 0.0000 0.0000
Pa 0.0000 3.5366 1.8686
In 3.5366 0.0000 1.8686
In 0.0000 0.0000 3.7373
O 2.3271 0.0000 0.2208
O 4.7461 0.0000 0.2208
O 3.5366 2.1651 -1.5523
O 3.5366 -1.2095 3.5165
O 0.0000 1.3715 2.1850
O 3.5366 1.2095 3.5165
O 2.1651 3.5366 1.5523
O 1.3715 0.0000 5.2895

Record 4
52
Lattice="6.4272 0.0000 0.0000 -0.6122 6.5425 0.0000 -0.3929 -1.6361 13.0969" Properties=species:S:1:pos:R:3 comment="SiH17S3N5 | Alexandria | PBE | relaxed" sg="P-1 (2)" final_energy_ev_per_cell=-256.31 n_ef_per_ev_cell=0.0 pbc="T T T"
Si 0.5382 0.8795 2.5257
Si 4.8839 4.0269 10.5712
H -0.4800 3.7374 6.3079
H 0.0486 1.5882 11.4591
H 0.4664 2.8286 5.2913
H 0.5951 4.4780 5.3299
H 0.9919 -0.4847 8.5109
H 0.9460 0.1204 11.4813
H 0.8858 6.2095 0.5313
H 0.9596 5.2492 1.9068
H 0.9062 1.1339 12.8531
H 1.1529 3.3240 9.1529
H 1.2952 3.2736 7.4376
H 1.8021 -0.0527 7.1543
H 1.7434 1.8842 8.3925
H 1.7651 1.6342 11.4591
H 2.6647 -0.0516 1.7169
H 2.6360 -0.3623 8.5305
H 2.7432 1.5591 4.6320
H 2.6789 3.3473 8.4649
H 2.7861 5.2687 4.5664
H 2.7574 4.9579 11.3801
H 3.6570 3.2722 1.6378
H 3.6787 3.0222 4.7044
H 3.6200 4.9591 5.9427
H 4.1270 1.6328 5.6594
H 4.2692 1.5824 3.9441
H 4.5159 3.7725 0.2438
H 4.4626 -0.3428 11.1902
H 4.5363 -1.3031 12.5657
H 4.4761 4.7860 1.6156
H 4.4303 5.3911 4.5860
H 4.8270 0.4284 7.7670
H 4.9558 2.0778 7.8056
H 5.3736 3.3182 1.6378
H 5.9021 1.1690 6.7890
S 0.8648 0.3467 4.5083
S 0.3829 4.4665 11.3075
S 1.2496 2.7787 1.9444
S 4.1726 2.1277 11.1525
S 5.0392 0.4399 1.7894
S 4.5574 4.5597 8.5887
N 0.4618 3.6452 5.9164
N 0.9231 1.1272 11.7943
N 1.0642 6.2211 1.5642
N 1.7831 0.0779 8.1706
N 1.7140 2.9492 8.3689
N 3.7082 1.9572 4.7280
N 3.6390 4.8285 4.9263
N 4.3580 -1.3147 11.5328
N 4.4990 3.7792 1.3027
N 4.9604 1.2612 7.1806

Record 5
16
Lattice="7.3111 0.0000 0.0000 0.0000 7.3111 0.0000 0.0000 0.0000 7.3111" Properties=species:S:1:pos:R:3 comment="CeNdAgPt | Alexandria | PBE | relaxed" sg="F-43m (216)" formation_enthalpy_0k_mev_per_atom=-571 n_ef_per_ev_cell=34.2 pbc="T T T"
Ce 0.0000 0.0000 0.0000
Ce 0.0000 3.6556 3.6556
Ce 3.6556 0.0000 3.6556
Ce 3.6556 3.6556 0.0000
Nd 0.0000 0.0000 3.6556
Nd 0.0000 3.6556 0.0000
Nd 3.6556 0.0000 0.0000
Nd 3.6556 3.6556 3.6556
Ag 1.8278 1.8278 1.8278
Ag 1.8278 5.4834 5.4834
Ag 5.4834 1.8278 5.4834
Ag 5.4834 5.4834 1.8278
Pt 1.8278 1.8278 5.4834
Pt 1.8278 5.4834 1.8278
Pt 5.4834 1.8278 1.8278
Pt 5.4834 5.4834 5.4834

Record 6
8
Lattice="3.4925 0.0000 0.0000 0.0000 4.3929 0.0000 -0.0481 0.0000 14.7190" Properties=species:S:1:pos:R:3 comment="GaSnPb2 | Alexandria | PBE | relaxed" sg="P2_1/m (11)" formation_enthalpy_0k_mev_per_atom=64 de_polymorph_mev_per_atom=19 n_ef_per_ev_cell=3.2 pbc="T T T"
Ga 0.8284 1.0982 5.2179
Ga 2.6160 3.2947 9.5011
Sn 0.8620 1.0982 8.3753
Sn 2.5824 3.2947 6.3438
Pb 0.8226 3.2947 13.7217
Pb 0.8752 3.2947 3.0710
Pb 2.5691 1.0982 11.6481
Pb 2.6217 1.0982 0.9973

Record 7
22
Lattice="6.0397 0.0000 0.0000 0.0000 8.9523 0.0000 0.0000 0.0000 9.7642" Properties=species:S:1:pos:R:3 comment="U8Pb3 | Alexandria | PBE | relaxed" sg="Pmn2_1 (31)" formation_enthalpy_0k_mev_per_atom=270 n_ef_per_ev_cell=56.8 pbc="T T T"
U 0.0000 0.2932 1.4356
U 0.0000 1.7948 6.4185
U 0.0000 4.0933 5.3941
U 0.0000 6.0147 0.0000
U 1.3976 4.0106 2.5648
U 1.4886 0.9113 4.5082
U 1.5312 8.0410 9.3903
U 1.6223 4.9417 7.4469
U 3.0199 2.9376 4.8821
U 3.0199 4.8591 0.5120
U 3.0199 7.1575 1.5364
U 3.0199 8.6591 6.3177
U 4.4175 4.9417 7.4469
U 4.5085 8.0410 9.3903
U 4.5511 0.9113 4.5082
U 4.6421 4.0106 2.5648
Pb 0.0000 2.8684 9.4966
Pb 0.0000 6.8298 3.3060
Pb 0.0000 7.5409 6.5393
Pb 3.0199 1.4115 1.6572
Pb 3.0199 2.1225 8.1881
Pb 3.0199 6.0839 4.6145

Record 8
10
Lattice="14.3388 -1.7421 0.0000 14.3388 1.7421 0.0000 -0.8371 0.0000 6.8283" Properties=species:S:1:pos:R:3 comment="Pm4Sm5Er | Alexandria | PBE | relaxed" sg="C2/m (12)" formation_enthalpy_0k_mev_per_atom=148 de_polymorph_mev_per_atom=0 n_ef_per_ev_cell=16.8 pbc="T T T"
Pm 2.4417 0.0000 2.0167
Pm 11.1078 0.0000 1.3063
Pm 16.7326 0.0000 5.5220
Pm 25.3988 0.0000 4.8116
Sm 5.2784 0.0000 4.1053
Sm 5.8314 0.0000 0.7167
Sm 13.9202 0.0000 3.4141
Sm 22.0091 0.0000 6.1115
Sm 22.5621 0.0000 2.7230
Er 14.3388 0.0000 0.0000

Record 9
11
Lattice="7.0761 -2.0825 0.0000 7.0761 2.0825 0.0000 -1.7852 0.0000 6.0158" Properties=species:S:1:pos:R:3 comment="ZnIn2Pd8 | Alexandria | PBE | relaxed" sg="C2/m (12)" formation_enthalpy_0k_mev_per_atom=-388 de_polymorph_mev_per_atom=0 n_ef_per_ev_cell=5.3 pbc="T T T"
Zn 0.0000 0.0000 0.0000
In 3.3644 0.0000 2.0563
In 9.0027 0.0000 3.9595
Pd 0.5100 0.0000 2.6951
Pd 0.8075 0.0000 5.4830
Pd 3.6110 0.0000 4.8781
Pd 6.0683 0.0000 1.6160
Pd 6.2989 0.0000 4.3999
Pd 8.7561 0.0000 1.1377
Pd 11.5596 0.0000 0.5328
Pd 11.8571 0.0000 3.3207

Record 10
5
Lattice="5.3307 0.0000 0.0000 0.0000 5.3307 0.0000 0.0000 0.0000 5.3307" Properties=species:S:1:pos:R:3 comment="Te3PI | Alexandria | PBE | relaxed" sg="Pm-3m (221)" e_form_raw_ev_per_atom=0.473 de_polymorph_mev_per_atom=318 n_ef_per_ev_cell=4.8 pbc="T T T"
Te 0.0000 0.0000 2.6654
Te 0.0000 2.6654 0.0000
Te 2.6654 0.0000 0.0000
P 0.0000 0.0000 0.0000
I 2.6654 2.6654 2.6654

Record 11
5
Lattice="7.1585 0.0000 0.0000 0.0000 7.1585 0.0000 0.0000 0.0000 7.1585" Properties=species:S:1:pos:R:3 comment="K3LaAg | Alexandria | PBE | relaxed" sg="Pm-3m (221)" formation_enthalpy_0k_mev_per_atom=1033 n_ef_per_ev_cell=10.8 pbc="T T T"
K 0.0000 0.0000 3.5792
K 0.0000 3.5792 0.0000
K 3.5792 0.0000 0.0000
La 0.0000 0.0000 0.0000
Ag 3.5792 3.5792 3.5792

Record 12
14
Lattice="4.3498 0.0000 0.0000 0.0000 5.0354 0.0000 0.0000 0.0000 20.0539" Properties=species:S:1:pos:R:3 comment="Ce2Pm3Sn2 | Alexandria | PBE | relaxed" sg="Immm (71)" formation_enthalpy_0k_mev_per_atom=-295 n_ef_per_ev_cell=33.6 pbc="T T T"
Ce 0.0000 0.0000 2.1088
Ce 0.0000 0.0000 17.9451
Ce 2.1749 2.5177 7.9182
Ce 2.1749 2.5177 12.1357
Pm 0.0000 2.5177 0.0000
Pm 0.0000 2.5177 4.9914
Pm 0.0000 2.5177 15.0625
Pm 2.1749 0.0000 5.0355
Pm 2.1749 0.0000 10.0269
Pm 2.1749 0.0000 15.0183
Sn 0.0000 0.0000 7.4736
Sn 0.0000 0.0000 12.5803
Sn 2.1749 2.5177 2.5533
Sn 2.1749 2.5177 17.5006

Record 13
5
Lattice="5.3429 0.0000 0.0000 0.0000 5.3429 0.0000 0.0000 0.0000 5.4698" Properties=species:S:1:pos:R:3 comment="La2YSnRu | Alexandria | PBE | relaxed" sg="P4/mmm (123)" formation_enthalpy_0k_mev_per_atom=-409 n_ef_per_ev_cell=4.5 pbc="T T T"
La 0.0000 2.6715 0.0000
La 2.6715 0.0000 0.0000
Y 0.0000 0.0000 2.7349
Sn 2.6715 2.6715 2.7349
Ru 0.0000 0.0000 0.0000

Record 14
4
Lattice="2.7561 0.0000 0.0000 0.0000 4.4834 0.0000 0.0000 0.0000 4.7100" Properties=species:S:1:pos:R:3 comment="NiPd3 | Alexandria | PBE | relaxed" sg="Pmm2 (25)" formation_enthalpy_0k_mev_per_atom=68 n_ef_per_ev_cell=8.0 pbc="T T T"
Ni 0.0000 0.0000 0.0000
Pd 0.0000 2.2417 3.1544
Pd 1.3781 0.0000 2.3578
Pd 1.3781 2.2417 0.7548

Record 15
4
Lattice="4.2186 0.0000 0.0000 0.0000 4.2186 0.0000 0.0000 0.0000 4.2186" Properties=species:S:1:pos:R:3 comment="YW3 | Alexandria | PBE | relaxed" sg="Pm-3m (221)" formation_enthalpy_0k_mev_per_atom=940 de_polymorph_mev_per_atom=552 n_ef_per_ev_cell=5.2 pbc="T T T"
Y 0.0000 0.0000 0.0000
W 0.0000 2.1093 2.1093
W 2.1093 0.0000 2.1093
W 2.1093 2.1093 0.0000

Record 16
16
Lattice="7.5156 0.0000 0.0000 0.0000 7.5156 0.0000 0.0000 0.0000 7.5156" Properties=species:S:1:pos:R:3 comment="TlMoPb2 | Alexandria | PBE | relaxed" sg="Fm-3m (225)" formation_enthalpy_0k_mev_per_atom=792 de_polymorph_mev_per_atom=330 n_ef_per_ev_cell=14.4 pbc="T T T"
Tl 0.0000 0.0000 0.0000
Tl 0.0000 3.7578 3.7578
Tl 3.7578 0.0000 3.7578
Tl 3.7578 3.7578 0.0000
Mo 0.0000 0.0000 3.7578
Mo 0.0000 3.7578 0.0000
Mo 3.7578 0.0000 0.0000
Mo 3.7578 3.7578 3.7578
Pb 1.8789 1.8789 1.8789
Pb 1.8789 1.8789 5.6367
Pb 1.8789 5.6367 1.8789
Pb 1.8789 5.6367 5.6367
Pb 5.6367 1.8789 1.8789
Pb 5.6367 1.8789 5.6367
Pb 5.6367 5.6367 1.8789
Pb 5.6367 5.6367 5.6367

Record 17
12
Lattice="5.2125 0.0000 0.0000 -2.6063 4.5142 0.0000 0.0000 0.0000 17.2583" Properties=species:S:1:pos:R:3 comment="NaPuPb2 | Alexandria | PBE | relaxed" sg="R3m (160)" formation_enthalpy_0k_mev_per_atom=162 de_polymorph_mev_per_atom=312 n_ef_per_ev_cell=47.0 pbc="T T T"
Na 0.0000 0.0000 0.0000
Na 0.0000 3.0094 11.5055
Na 2.6063 1.5047 5.7528
Pu 0.0000 0.0000 3.4387
Pu 0.0000 3.0094 14.9442
Pu 2.6063 1.5047 9.1915
Pb 0.0000 0.0000 10.2514
Pb 0.0000 0.0000 13.5532
Pb 0.0000 3.0094 4.4986
Pb 0.0000 3.0094 7.8004
Pb 2.6063 1.5047 2.0476
Pb 2.6063 1.5047 16.0041

Record 18
8
Lattice="6.4701 0.0000 0.0000 0.0000 4.2749 0.0000 0.0000 0.0000 11.7930" Properties=species:S:1:pos:R:3 comment="SnBiSbTe | Alexandria | PBE | relaxed" sg="Amm2 (38)" e_form_raw_ev_per_atom=-0.006 de_polymorph_mev_per_atom=0 n_ef_per_ev_cell=0.7 pbc="T T T"
Sn 0.0000 0.0000 0.0000
Sn 0.0000 2.1375 5.8965
Bi 3.2350 0.0000 7.3716
Bi 3.2350 2.1375 1.4751
Sb 3.2350 0.0000 11.2273
Sb 3.2350 2.1375 5.3308
Te 0.0000 0.0000 7.9580
Te 0.0000 2.1375 2.0615

Record 19
13
Lattice="4.1206 0.0000 0.0000 0.0000 4.2574 0.0000 0.0000 0.0000 16.9672" Properties=species:S:1:pos:R:3 comment="Th4AlGe8 | Alexandria | PBE | relaxed" sg="Pmm2 (25)" formation_enthalpy_0k_mev_per_atom=-526 n_ef_per_ev_cell=5.9 pbc="T T T"
Th 0.0000 0.0000 0.0000
Th 0.0000 2.1287 8.2238
Th 2.0603 0.0000 13.2957
Th 2.0603 2.1287 4.7458
Al 0.0000 2.1287 12.0346
Ge 0.0000 0.0000 5.6466
Ge 0.0000 0.0000 10.6028
Ge 0.0000 2.1287 2.3751
Ge 0.0000 2.1287 14.5254
Ge 2.0603 0.0000 2.3724
Ge 2.0603 0.0000 7.3378
Ge 2.0603 2.1287 10.5754
Ge 2.0603 2.1287 16.1929

Record 20
5
Lattice="6.7868 0.0000 0.0000 0.0000 6.7868 0.0000 0.0000 0.0000 6.7868" Properties=species:S:1:pos:R:3 comment="K3ZrF | Alexandria | PBE | relaxed" sg="Pm-3m (221)" e_form_raw_ev_per_atom=0.505 de_polymorph_mev_per_atom=745 n_ef_per_ev_cell=8.8 pbc="T T T"
K 0.0000 0.0000 3.3934
K 0.0000 3.3934 0.0000
K 3.3934 0.0000 0.0000
Zr 0.0000 0.0000 0.0000
F 3.3934 3.3934 3.3934

Record 21
5
Lattice="4.6080 0.0000 0.0000 0.0000 4.6080 0.0000 0.0000 0.0000 4.6080" Properties=species:S:1:pos:R:3 comment="Zn3NiSn | Alexandria | PBE | relaxed" sg="Pm-3m (221)" formation_enthalpy_0k_mev_per_atom=174 de_polymorph_mev_per_atom=0 n_ef_per_ev_cell=2.2 pbc="T T T"
Zn 0.0000 0.0000 2.3040
Zn 0.0000 2.3040 0.0000
Zn 2.3040 0.0000 0.0000
Ni 0.0000 0.0000 0.0000
Sn 2.3040 2.3040 2.3040

Record 22
4
Lattice="3.7286 0.0000 0.0000 0.0000 3.7286 0.0000 0.0000 0.0000 4.0315" Properties=species:S:1:pos:R:3 comment="Li2ZnPt | Alexandria | PBE | relaxed" sg="P4/mmm (123)" formation_enthalpy_0k_mev_per_atom=-482 n_ef_per_ev_cell=1.6 pbc="T T T"
Li 0.0000 1.8643 0.0000
Li 1.8643 0.0000 0.0000
Zn 0.0000 0.0000 2.0157
Pt 1.8643 1.8643 2.0157

Record 23
12
Lattice="6.9251 -3.1500 0.0000 6.9251 3.1500 0.0000 -1.2951 0.0000 4.2278" Properties=species:S:1:pos:R:3 comment="Mg6Cu5Ni | Alexandria | PBE | relaxed" sg="C2/m (12)" formation_enthalpy_0k_mev_per_atom=-108 n_ef_per_ev_cell=3.8 pbc="T T T"
Mg 4.2065 1.5927 1.4378
Mg 6.9251 1.6122 0.0000
Mg 8.3487 1.5927 2.7900
Mg 4.2065 -1.5927 1.4378
Mg 6.9251 -1.6122 0.0000
Mg 8.3487 -1.5927 2.7900
Cu 2.1180 0.0000 0.6838
Cu 3.5169 0.0000 3.5516
Cu 6.2776 0.0000 2.1139
Cu 9.0383 0.0000 0.6762
Cu 10.4371 0.0000 3.5440
Ni -0.6476 0.0000 2.1139